1.
BaCaMg2 after structural relaxation, computed with PBE-GGA.

Results
Space-group type: Immm, No. 71
Energy of formation in eV/atom: 0.449
D(E_F) in states/eV/f.u.: 4.9
Energy above the most stable polymorph in this dataset in eV/atom: 0.512

Unit cell a=3.6280 b=6.2654 c=13.8529 alpha=90.00 beta=90.00 gamma=90.00
Closest atoms and distances in Å follow each position.
Element x y z (fractional)
Ba 0.0000 0.0000 0.0000  2 Mg 3.62, 4 Ca 3.62, 2 Ba 3.63
Ba 0.5000 0.5000 0.5000  2 Mg 3.62, 4 Ca 3.62, 2 Ba 3.63
Ca 0.0000 0.0000 0.5000  2 Mg 3.31, 4 Ba 3.62, 2 Ca 3.63
Ca 0.5000 0.5000 0.0000  2 Mg 3.31, 4 Ba 3.62, 2 Ca 3.63
Mg 0.0000 0.0000 0.2612  1 Ca 3.31, 1 Ba 3.62, 6 Mg 3.63
Mg 0.0000 0.0000 0.7388  1 Ca 3.31, 1 Ba 3.62, 6 Mg 3.63
Mg 0.5000 0.5000 0.2388  1 Ca 3.31, 1 Ba 3.62, 6 Mg 3.63
Mg 0.5000 0.5000 0.7612  1 Ca 3.31, 1 Ba 3.62, 6 Mg 3.63

***

2.
BaCa4Mg after structural relaxation, computed with PBE-GGA.

Results
Space-group type: Pmma, No. 51
Energy of formation in eV/atom: 0.019
D(E_F) in states/eV/f.u.: 6.8
Energy above the most stable polymorph in this dataset in eV/atom: 0.021

Unit cell a=10.9589 b=5.1709 c=9.3563 alpha=90.00 beta=90.00 gamma=90.00
Closest atoms and distances in Å follow each position.
Element x y z (fractional)
Ba 0.2500 0.0000 0.1063  1 Mg 3.74, 2 Ca 4.17
Ba 0.7500 0.0000 0.8937  1 Mg 3.74, 2 Ca 4.17
Ca 0.0000 0.0000 0.5000  2 Mg 3.36
Ca 0.0604 0.5000 0.8028  2 Mg 3.44
Ca 0.2500 0.5000 0.4559  2 Mg 3.49, 6 Ca 3.79-3.85
Ca 0.4396 0.5000 0.8028  2 Mg 3.44
Ca 0.5000 0.0000 0.5000  2 Mg 3.36
Ca 0.5604 0.5000 0.1972  2 Mg 3.44
Ca 0.7500 0.5000 0.5441  2 Mg 3.49, 6 Ca 3.79-3.85
Ca 0.9396 0.5000 0.1972  2 Mg 3.44
Mg 0.2500 0.0000 0.7070  8 Ca 3.36-3.49, 1 Ba 3.74
Mg 0.7500 0.0000 0.2930  8 Ca 3.36-3.49, 1 Ba 3.74

***

3.
Ba2Ca2Mg after structural relaxation, computed with PBE-GGA.

Results
Space-group type: I4/mmm, No. 139
Energy of formation in eV/atom: -0.006
D(E_F) in states/eV/f.u.: 5.4
Energy above the most stable polymorph in this dataset in eV/atom: 0.000

Unit cell a=4.2926 b=4.2926 c=25.0460 alpha=90.00 beta=90.00 gamma=90.00
Closest atoms and distances in Å follow each position.
Element x y z (fractional)
Ba 0.0000 0.0000 0.0872  4 Mg 3.74
Ba 0.0000 0.0000 0.9128  4 Mg 3.74
Ba 0.5000 0.5000 0.4128  4 Mg 3.74
Ba 0.5000 0.5000 0.5872  4 Mg 3.74
Ca 0.0000 0.0000 0.2970  8 Ca 3.84-4.29, 4 Ba 4.20
Ca 0.0000 0.0000 0.7030  8 Ca 3.84-4.29, 4 Ba 4.20
Ca 0.5000 0.5000 0.2030  8 Ca 3.84-4.29, 4 Ba 4.20
Ca 0.5000 0.5000 0.7970  8 Ca 3.84-4.29, 4 Ba 4.20
Mg 0.0000 0.0000 0.5000  8 Ba 3.74
Mg 0.5000 0.5000 0.0000  8 Ba 3.74

***

4.
Ba2Ca2Mg after structural relaxation, computed with PBE-GGA.

Results
Space-group type: P4/mbm, No. 127
Energy of formation in eV/atom: 0.118
D(E_F) in states/eV/f.u.: 9.7
Energy above the most stable polymorph in this dataset in eV/atom: 0.124

Unit cell a=8.6666 b=8.6666 c=6.4190 alpha=90.00 beta=90.00 gamma=90.00
Closest atoms and distances in Å follow each position.
Element x y z (fractional)
Ba 0.1756 0.3244 0.0000  6 Ca 3.87-4.27, 1 Ba 4.30
Ba 0.3244 0.8244 0.0000  6 Ca 3.87-4.27, 1 Ba 4.30
Ba 0.6756 0.1756 0.0000  6 Ca 3.87-4.27, 1 Ba 4.30
Ba 0.8244 0.6756 0.0000  6 Ca 3.87-4.27, 1 Ba 4.30
Ca 0.1479 0.6479 0.5000  2 Mg 3.31, 1 Ca 3.63
Ca 0.3521 0.1479 0.5000  2 Mg 3.31, 1 Ca 3.63
Ca 0.6479 0.8521 0.5000  2 Mg 3.31, 1 Ca 3.63
Ca 0.8521 0.3521 0.5000  2 Mg 3.31, 1 Ca 3.63
Mg 0.0000 0.0000 0.5000  4 Ca 3.31
Mg 0.5000 0.5000 0.5000  4 Ca 3.31

***

5.
BaCaMg2 after structural relaxation, computed with PBE-GGA.

Results
Space-group type: Fm-3m, No. 225
Energy of formation in eV/atom: -0.060
D(E_F) in states/eV/f.u.: 2.8
Energy above the most stable polymorph in this dataset in eV/atom: 0.004

Unit cell a=8.3182 b=8.3182 c=8.3182 alpha=90.00 beta=90.00 gamma=90.00
Closest atoms and distances in Å follow each position.
Element x y z (fractional)
Ba 0.0000 0.0000 0.0000  8 Mg 3.60
Ba 0.0000 0.5000 0.5000  8 Mg 3.60
Ba 0.5000 0.0000 0.5000  8 Mg 3.60
Ba 0.5000 0.5000 0.0000  8 Mg 3.60
Ca 0.0000 0.0000 0.5000  8 Mg 3.60
Ca 0.0000 0.5000 0.0000  8 Mg 3.60
Ca 0.5000 0.0000 0.0000  8 Mg 3.60
Ca 0.5000 0.5000 0.5000  8 Mg 3.60
Mg 0.2500 0.2500 0.2500  4 Ba 3.60, 4 Ca 3.60
Mg 0.2500 0.2500 0.7500  4 Ba 3.60, 4 Ca 3.60
Mg 0.2500 0.7500 0.2500  4 Ba 3.60, 4 Ca 3.60
Mg 0.2500 0.7500 0.7500  4 Ba 3.60, 4 Ca 3.60
Mg 0.7500 0.2500 0.2500  4 Ba 3.60, 4 Ca 3.60
Mg 0.7500 0.2500 0.7500  4 Ba 3.60, 4 Ca 3.60
Mg 0.7500 0.7500 0.2500  4 Ba 3.60, 4 Ca 3.60
Mg 0.7500 0.7500 0.7500  4 Ba 3.60, 4 Ca 3.60

***

6.
BaCa4Mg after structural relaxation, computed with PBE-GGA.

Results
Space-group type: F-43m, No. 216
Energy of formation in eV/atom: 0.160
D(E_F) in states/eV/f.u.: 5.6
Energy above the most stable polymorph in this dataset in eV/atom: 0.162

Unit cell a=7.2198 b=7.2198 c=7.2198 alpha=60.00 beta=60.00 gamma=60.00
Closest atoms and distances in Å follow each position.
Element x y z (fractional)
Ba 0.0000 0.0000 0.0000  12 Ca 4.23, 4 Mg 4.42
Ca 0.1269 0.6244 0.6244  6 Ca 3.59-3.63
Ca 0.6244 0.1269 0.6244  6 Ca 3.59-3.63
Ca 0.6244 0.6244 0.1269  6 Ca 3.59-3.63
Ca 0.6244 0.6244 0.6244  6 Ca 3.59-3.63
Mg 0.2500 0.2500 0.2500  12 Ca 4.23, 4 Ba 4.42